# 1
Density functional theory data (PBE) for a relaxed structure of TbDyCu2.

Results
Formation energy from the elements: -24.40 kJ per mole of atoms
Polymorph energy (0 for the lowest one): 0 meV per atom
N(E_F): 2.68 states/eV/f.u.
M_tot: 0.000 μB per atom

Cell lengths 3.7526, 4.4750, 5.4680 Å; angles 90.00, 109.39, 90.00 degrees
Last column: nearest neighbours and their distance in Å.
Space group Pm (No. 6)
Symmetry-distinct sites (fractional):
Tb 0.0000 0.0000 0.0000 (multiplicity 1)  7 Cu 2.87-3.02
Dy 0.2785 0.5000 0.5623 (multiplicity 1)  7 Cu 2.86-3.01
Cu 0.5708 0.5000 0.1404 (multiplicity 1)  2 Cu 2.67, 3 Dy 2.86-2.98
Cu 0.7084 0.0000 0.4232 (multiplicity 1)  2 Cu 2.67, 3 Tb 2.87-2.98

=====

# 2
Density functional theory data (PBE) for a relaxed structure of TbDy2Cu2.

Results
Formation energy from the elements: -8.46 kJ per mole of atoms
Polymorph energy (0 for the lowest one): 77 meV per atom
N(E_F): 5.20 states/eV/f.u.
M_tot: 0.000 μB per atom

Cell lengths 12.1701, 3.7053, 5.5057 Å; angles 90.00, 102.51, 90.00 degrees
Last column: nearest neighbours and their distance in Å.
Space group C2/m (No. 12)
Symmetry-distinct sites (fractional):
Tb 0.0000 0.0000 0.0000 (multiplicity 2)  4 Cu 3.13
Dy 0.1405 0.5000 0.5726 (multiplicity 4)  4 Cu 2.87-2.89
Cu 0.2119 0.5000 0.1079 (multiplicity 4)  2 Cu 2.49

=====

# 3
Density functional theory data (PBE) for a relaxed structure of TbDy2Cu.

Results
Formation energy from the elements: 3.05 kJ per mole of atoms
Polymorph energy (0 for the lowest one): 135 meV per atom
N(E_F): 4.96 states/eV/f.u.
M_tot: 0.000 μB per atom

Cell lengths 3.5739, 3.5739, 29.7717 Å; angles 90.00, 90.00, 120.00 degrees
Last column: nearest neighbours and their distance in Å.
Space group R-3m (No. 166, hexagonal axes)
Symmetry-distinct sites (fractional):
Tb 0.0000 0.0000 0.0000 (multiplicity 3)  6 Tb 3.57, 6 Dy 3.58
Dy 0.0000 0.0000 0.2350 (multiplicity 6)  3 Cu 2.90
Cu 0.0000 0.0000 0.5000 (multiplicity 3)  6 Dy 2.90

=====

# 4
Density functional theory data (PBE) for a relaxed structure of Tb3Dy2Cu2.

Results
Formation energy from the elements: -11.14 kJ per mole of atoms
N(E_F): 7.73 states/eV/f.u.
M_tot: 0.000 μB per atom

Cell lengths 12.4348, 3.6385, 9.0033 Å; angles 90.00, 116.54, 90.00 degrees
Last column: nearest neighbours and their distance in Å.
Space group C2/m (No. 12)
Symmetry-distinct sites (fractional):
Tb 0.0000 0.0000 0.0000 (multiplicity 2)  4 Cu 2.85
Tb 0.1136 0.0000 0.4428 (multiplicity 4)  3 Cu 2.96-2.98
Dy 0.1555 0.5000 0.8133 (multiplicity 4)  2 Cu 2.97
Cu 0.1705 0.5000 0.2277 (multiplicity 4)  5 Tb 2.85-2.98, 2 Dy 2.97

=====

# 5
Density functional theory data (PBE) for a relaxed structure of TbDy2Cu2.

Results
Formation energy from the elements: -15.94 kJ per mole of atoms
Polymorph energy (0 for the lowest one): 0 meV per atom
N(E_F): 4.00 states/eV/f.u.
M_tot: 0.000 μB per atom

Cell lengths 3.5122, 5.0678, 13.0818 Å; angles 90.00, 97.73, 90.00 degrees
Last column: nearest neighbours and their distance in Å.
Space group P2_1/m (No. 11)
Symmetry-distinct sites (fractional):
Tb 0.1421 0.2500 0.2826 (multiplicity 2)  6 Cu 3.04-3.08
Dy 0.0473 0.7500 0.0937 (multiplicity 2)  8 Cu 2.97-3.08
Dy 0.2307 0.7500 0.4604 (multiplicity 2)  2 Cu 2.92, 4 Dy 3.25
Cu 0.3589 0.2500 0.7193 (multiplicity 2)  4 Dy 2.92-2.99, 4 Tb 3.08
Cu 0.4540 0.7500 0.9092 (multiplicity 2)  6 Dy 2.97-3.08, 2 Tb 3.04

=====

# 6
Density functional theory data (PBE) for a relaxed structure of TbDyCu2.

Results
Formation energy from the elements: -23.50 kJ per mole of atoms
Polymorph energy (0 for the lowest one): 9 meV per atom
N(E_F): 2.54 states/eV/f.u.
M_tot: 0.000 μB per atom

Cell lengths 6.9558, 6.9558, 6.9558 Å; angles 90.00, 90.00, 90.00 degrees
Last column: nearest neighbours and their distance in Å.
Space group Fm-3m (No. 225)
Symmetry-distinct sites (fractional):
Tb 0.0000 0.0000 0.0000 (multiplicity 4)  8 Cu 3.01
Dy 0.0000 0.0000 0.5000 (multiplicity 4)  8 Cu 3.01
Cu 0.2500 0.2500 0.2500 (multiplicity 8)  4 Tb 3.01, 4 Dy 3.01

=====

# 7
Density functional theory data (PBE) for a relaxed structure of TbDy2Cu4.

Results
Formation energy from the elements: -1.00 kJ per mole of atoms
N(E_F): 5.23 states/eV/f.u.
M_tot: 0.000 μB per atom

Cell lengths 5.2301, 5.2301, 10.7309 Å; angles 90.00, 90.00, 90.00 degrees
Last column: nearest neighbours and their distance in Å.
Space group I4/mmm (No. 139)
Symmetry-distinct sites (fractional):
Tb 0.0000 0.0000 0.0000 (multiplicity 2)  8 Cu 2.93, 2 Dy 3.20
Dy 0.0000 0.0000 0.2983 (multiplicity 4)  4 Cu 2.75
Cu 0.0000 0.5000 0.1224 (multiplicity 8)  2 Cu 2.63-2.74, 2 Dy 2.75, 2 Tb 2.93

=====

# 8
Density functional theory data (PBE) for a relaxed structure of TbDyCuTc.

Results
Formation energy from the elements: -8.56 kJ per mole of atoms
N(E_F): 3.57 states/eV/f.u.
M_tot: 0.000 μB per atom

Cell lengths 6.8972, 6.8972, 6.8972 Å; angles 90.00, 90.00, 90.00 degrees
Last column: nearest neighbours and their distance in Å.
Space group F-43m (No. 216)
Symmetry-distinct sites (fractional):
Tb 0.0000 0.0000 0.0000 (multiplicity 4)  4 Cu 2.99, 4 Tc 2.99
Dy 0.0000 0.0000 0.5000 (multiplicity 4)  4 Tc 2.99, 4 Cu 2.99
Cu 0.2500 0.2500 0.7500 (multiplicity 4)  4 Tb 2.99, 4 Dy 2.99
Tc 0.2500 0.2500 0.2500 (multiplicity 4)  4 Tb 2.99, 4 Dy 2.99

=====

# 9
Density functional theory data (PBE) for a relaxed structure of Tb2DyCuTe5.

Results
N(E_F): 0.23 states/eV/f.u.
ΔE_f (raw): -1.136 eV/atom
M_tot: 0.000 μB per atom

Cell lengths 4.2386, 18.8352, 12.9144 Å; angles 90.00, 90.00, 90.00 degrees
Last column: nearest neighbours and their distance in Å.
Space group Cmc2_1 (No. 36)
Symmetry-distinct sites (fractional):
Tb 0.0000 0.1089 0.0000 (multiplicity 4)  8 Te 3.18-3.35
Tb 0.0000 0.1240 0.6203 (multiplicity 4)  7 Te 3.15-3.45
Dy 0.0000 0.1894 0.3251 (multiplicity 4)  6 Te 2.92-3.12, 2 Cu 3.15
Cu 0.0000 0.4295 0.7756 (multiplicity 4)  4 Te 2.60-2.67
Te 0.0000 0.0395 0.3830 (multiplicity 4)  2 Cu 2.60
Te 0.0000 0.2866 0.9909 (multiplicity 4)  2 Dy 3.05, 3 Tb 3.18-3.35
Te 0.0000 0.3145 0.6551 (multiplicity 4)  1 Cu 2.67
Te 0.0000 0.3551 0.3147 (multiplicity 4)  1 Dy 3.12, 4 Tb 3.27-3.31
Te 0.0000 0.4992 0.1026 (multiplicity 4)  1 Cu 2.61

=====

# 10
Density functional theory data (PBE) for a relaxed structure of Dy6Cu2Tc.

Results
Formation energy from the elements: -10.45 kJ per mole of atoms
N(E_F): 8.72 states/eV/f.u.
M_tot: 0.000 μB per atom

Cell lengths 9.5252, 9.5818, 9.6219 Å; angles 90.00, 90.00, 90.00 degrees
Last column: nearest neighbours and their distance in Å.
Space group Immm (No. 71)
Symmetry-distinct sites (fractional):
Dy 0.0000 0.2447 0.1742 (multiplicity 8)  1 Tc 2.97, 3 Cu 2.97-3.11
Dy 0.1698 0.2895 0.5000 (multiplicity 8)  3 Cu 2.82-2.97
Dy 0.2379 0.0000 0.3145 (multiplicity 8)  2 Tc 2.88-3.07, 2 Cu 2.95-3.22
Cu 0.0000 0.5000 0.3487 (multiplicity 4)  1 Cu 2.91, 8 Dy 2.95-2.97
Cu 0.1226 0.0000 0.0000 (multiplicity 4)  1 Cu 2.34
Tc 0.0000 0.0000 0.5000 (multiplicity 2)  8 Dy 2.88-3.21
Tc 0.0000 0.5000 0.0000 (multiplicity 2)  8 Dy 2.97-3.07

=====

# 11
Density functional theory data (PBE) for a relaxed structure of Dy2CuTc.

Results
Formation energy from the elements: -12.03 kJ per mole of atoms
N(E_F): 2.68 states/eV/f.u.
M_tot: 0.000 μB per atom

Cell lengths 3.4446, 3.4446, 6.9791 Å; angles 90.00, 90.00, 90.00 degrees
Last column: nearest neighbours and their distance in Å.
Space group P4/mmm (No. 123)
Symmetry-distinct sites (fractional):
Dy 0.0000 0.0000 0.2366 (multiplicity 2)  4 Tc 2.94, 4 Cu 3.05
Cu 0.5000 0.5000 0.5000 (multiplicity 1)  8 Dy 3.05
Tc 0.5000 0.5000 0.0000 (multiplicity 1)  8 Dy 2.94

=====

# 12
Density functional theory data (PBE) for a relaxed structure of Dy4CuTc.

Results
Formation energy from the elements: -12.53 kJ per mole of atoms
N(E_F): 5.22 states/eV/f.u.
M_tot: 0.000 μB per atom

Cell lengths 8.1626, 12.3047, 6.2997 Å; angles 90.00, 104.54, 90.00 degrees
Last column: nearest neighbours and their distance in Å.
Space group C2/c (No. 15)
Symmetry-distinct sites (fractional):
Dy 0.1029 0.1753 0.0352 (multiplicity 8)  2 Tc 2.77-2.81, 1 Cu 3.00
Dy 0.2024 0.4239 0.4232 (multiplicity 8)  2 Tc 2.91-3.05, 2 Cu 3.01-3.06
Cu 0.0000 0.3715 0.7500 (multiplicity 4)  8 Dy 3.00-3.24
Tc 0.0000 0.0012 0.2500 (multiplicity 4)  8 Dy 2.77-3.05